# HgSb4Ru PBE-GGA relaxed
# Total DFT energy (no corrections): -3.50 eV per atom
# Spin magnetization: 2.348 μB/f.u.
# Density of states at the Fermi level: 5.43 states/eV/f.u.
data_HgSb4Ru
_chemical_formula_sum 'Hg4 Sb16 Ru4'
_cell_length_a 8.684
_cell_length_b 8.684
_cell_length_c 8.684
_cell_angle_alpha 90.00
_cell_angle_beta 90.00
_cell_angle_gamma 90.00
_symmetry_space_group_name_H-M 'F -4 3 m'
_symmetry_Int_Tables_number 216
_symmetry_space_group_name_Hall 'F -4 2 3'
loop_
_atom_site_label
_atom_site_type_symbol
_atom_site_fract_x
_atom_site_fract_y
_atom_site_fract_z
Hg1 Hg 0.000 0.000 0.000
Sb1 Sb 0.126 0.126 0.374
Ru1 Ru 0.250 0.250 0.750